Computed, not measured: a relaxed KYTa2O7 crystal at the PBE-GGA level of DFT.

crystal system: orthorhombic
final energy: -0.3269 hartree per atom
formation energy (no corrections): -279.6 kJ/mol of atoms
total moment: 0.000 Bohr magnetons per cell

Cell lengths 7.430, 7.549, 10.750 Å; angles 90.00, 90.00, 90.00 degrees
Space group Imma (No. 74)
Symmetry-distinct sites (fractional):
K 0.250 0.250 0.250 x4
Y 0.000 0.000 0.000 x4
Ta 0.000 0.000 0.500 x4
Ta 0.250 0.250 0.750 x4
O 0.000 0.250 0.090 x4
O 0.000 0.250 0.443 x4
O 0.000 0.250 0.815 x4
O 0.197 0.065 0.621 x16